TaCuSi2: optimized geometry, PBE-GGA.

POSCAR file:
```
TaCuSi2
1.0
9.417 0.000 0.000
0.000 2.762 0.000
-0.679 0.000 4.499
Ta Cu Si
2 2 4
Direct
0.000 0.000 0.000 Ta
0.500 0.500 0.000 Ta
0.252 0.000 0.676 Cu
0.752 0.500 0.676 Cu
0.245 0.500 0.178 Si
0.497 0.000 0.501 Si
0.745 0.000 0.178 Si
0.997 0.500 0.501 Si
```

## Properties
Mass density in g/cm³: 8.5
Formation energy without anion corrections in eV per atom: -0.049
Total magnetization in μB/f.u.: 0.00

RbMg2Pb: optimized geometry, PBE-GGA.

POSCAR file:
```
RbMg2Pb
1.0
4.918 0.000 0.000
0.000 4.918 0.000
0.000 0.000 11.694
Rb Mg Pb
2 4 2
Direct
0.250 0.250 0.237 Rb
0.750 0.750 0.763 Rb
0.250 0.250 0.923 Mg
0.250 0.750 0.500 Mg
0.750 0.250 0.500 Mg
0.750 0.750 0.077 Mg
0.250 0.250 0.652 Pb
0.750 0.750 0.348 Pb
```

## Properties
Mass density in g/cm³: 4.0
Total magnetization in μB/f.u.: 0.00

SrHg2TePd: optimized geometry, PBE-GGA.

POSCAR file:
```
SrHg2TePd
1.0
5.730 0.000 0.000
0.000 5.730 0.000
0.000 0.000 4.996
Sr Hg Te Pd
1 2 1 1
Direct
0.000 0.000 0.000 Sr
0.000 0.500 0.500 Hg
0.500 0.000 0.500 Hg
0.500 0.500 0.500 Te
0.500 0.500 0.000 Pd
```

## Properties
Mass density in g/cm³: 7.3
Formation energy without anion corrections in eV per atom: -0.042
Total magnetization in μB/f.u.: 0.00

no.,total DFT energy (no corrections) (eV per atom)
1,-6.75
2,-1.92
3,-2.17